[1]
Ac3Ge2Rh2N3 GGA-PBE relaxed; SG = I4/mmm (139)
1.0
-2.0376 2.0376 11.5685
2.0376 -2.0376 11.5685
2.0376 2.0376 -11.5685
Ac Ge Rh N
3 2 2 3
Cartesian
0.0000 0.0000 0.0000
0.0000 0.0000 8.8571
0.0000 0.0000 14.2799
0.0000 0.0000 4.4435
0.0000 0.0000 18.6935
2.0376 0.0000 5.7843
0.0000 2.0376 5.7843
0.0000 0.0000 2.5240
0.0000 0.0000 11.5685
0.0000 0.0000 20.6130

---

[2]
Ac5Ge2RhN GGA-PBE relaxed; SG = Cmc2_1 (36)
1.0
2.2793 -9.2845 0.0000
2.2793 9.2845 0.0000
0.0000 0.0000 13.1729
Ac Ge Rh N
10 4 2 2
Cartesian
2.2793 9.0538 6.5865
2.2793 6.4146 9.7823
2.2793 6.0844 1.5172
2.2793 5.2647 5.5196
2.2793 0.5262 9.7631
2.2793 -0.5262 3.1766
2.2793 -5.2647 12.1060
2.2793 -6.0844 8.1036
2.2793 -6.4146 3.1958
2.2793 -9.0538 0.0000
2.2793 2.4747 0.8342
2.2793 2.0087 5.5123
2.2793 -2.0087 12.0987
2.2793 -2.4747 7.4207
2.2793 3.5777 10.1553
2.2793 -3.5777 3.5688
2.2793 8.5525 2.1427
2.2793 -8.5525 8.7291

---

[3]
AcGeRuN GGA-PBE relaxed; SG = P4/nmm (129)
1.0
4.1632 0.0000 0.0000
0.0000 4.1632 0.0000
0.0000 0.0000 8.6280
Ac Ge Ru N
2 2 2 2
Cartesian
1.0408 1.0408 1.3920
3.1224 3.1224 7.2360
1.0408 1.0408 5.5851
3.1224 3.1224 3.0429
1.0408 3.1224 4.3140
3.1224 1.0408 4.3140
1.0408 1.0408 7.5232
3.1224 3.1224 1.1048

---

[4]
AcGeRu2N GGA-PBE relaxed; SG = Cmcm (63)
1.0
2.0457 -5.7446 0.0000
2.0457 5.7446 0.0000
0.0000 0.0000 7.3812
Ac Ge Ru N
2 2 4 2
Cartesian
2.0457 5.1466 5.5359
2.0457 -5.1466 1.8453
2.0457 3.1397 1.8453
2.0457 -3.1397 5.5359
2.0457 1.8575 4.1025
2.0457 1.8575 6.9692
2.0457 -1.8575 0.4119
2.0457 -1.8575 3.2787
2.0457 0.0000 0.0000
2.0457 0.0000 3.6906

---

[5]
Ac4GeS2N GGA-PBE relaxed; SG = Cmcm (63)
1.0
2.1533 -7.2867 0.0000
2.1533 7.2867 0.0000
0.0000 0.0000 15.1677
Ac Ge S N
8 2 4 2
Cartesian
0.0000 0.0000 0.0000
0.0000 0.0000 7.5838
2.1533 3.3716 9.5542
2.1533 3.3716 13.1973
2.1533 0.9893 3.7919
2.1533 -0.9893 11.3757
2.1533 -3.3716 1.9704
2.1533 -3.3716 5.6135
2.1533 5.7207 3.7919
2.1533 -5.7207 11.3757
2.1533 1.9525 0.8444
2.1533 1.9525 6.7394
2.1533 -1.9525 8.4283
2.1533 -1.9525 14.3232
2.1533 4.9447 11.3757
2.1533 -4.9447 3.7919

---

[6]
Ac3ScGe2N6 GGA-PBE relaxed; SG = P-3m1 (164)
1.0
5.9618 0.0000 0.0000
-2.9809 5.1631 0.0000
0.0000 0.0000 6.6368
Ac Sc Ge N
3 1 2 6
Cartesian
0.0000 0.0000 0.0000
0.0000 3.4420 4.2369
2.9809 1.7210 2.3999
0.0000 0.0000 3.3184
0.0000 3.4420 1.1974
2.9809 1.7210 5.4394
0.0000 1.7613 2.0198
-1.4555 4.2824 2.0198
1.5254 0.8807 4.6170
1.4556 4.2824 2.0198
4.4364 0.8807 4.6170
2.9809 3.4017 4.6170

---

[7]
Ac8Ge3Se4N GGA-PBE relaxed; SG = C2/m (12)
1.0
7.7452 -4.4560 0.0000
7.7452 4.4560 0.0000
-5.1563 0.0000 7.4051
Ac Ge Se N
8 3 4 1
Cartesian
3.9735 2.3991 5.3271
6.3605 2.3991 2.0780
0.0090 0.0000 5.4677
2.5871 0.0000 1.9115
7.7469 0.0000 5.4936
10.3249 0.0000 1.9374
3.9735 -2.3991 5.3271
6.3605 -2.3991 2.0780
1.2944 2.2280 3.7026
1.2944 -2.2280 3.7026
5.1670 0.0000 3.7026
0.0000 0.0000 0.0000
3.8726 2.2280 0.0000
3.8726 -2.2280 0.0000
7.7452 0.0000 0.0000
-2.5782 0.0000 3.7026

---

[8]
Ac5Si2GeN GGA-PBE relaxed; SG = Cmc2_1 (36)
1.0
2.3166 -9.7354 0.0000
2.3166 9.7354 0.0000
0.0000 0.0000 12.5741
Ac Si Ge N
10 4 2 2
Cartesian
2.3166 9.6061 6.2870
2.3166 7.0211 9.2161
2.3166 6.4909 1.1714
2.3166 5.5424 5.3214
2.3166 0.7298 9.4310
2.3166 -0.7298 3.1440
2.3166 -5.5424 11.6084
2.3166 -6.4909 7.4584
2.3166 -7.0211 2.9291
2.3166 -9.6061 0.0000
2.3166 2.3558 0.5017
2.3166 2.0624 5.2246
2.3166 -2.0624 11.5116
2.3166 -2.3558 6.7887
2.3166 3.9874 9.4195
2.3166 -3.9874 3.1325
2.3166 8.8769 2.1663
2.3166 -8.8769 8.4533

---

[9]
Ac4SiGeN GGA-PBE relaxed; SG = Cmcm (63)
1.0
3.5625 -8.5479 0.0000
3.5625 8.5479 0.0000
0.0000 0.0000 7.1528
Ac Si Ge N
8 2 2 2
Cartesian
1.7813 4.2740 0.0000
1.7813 4.2740 3.5764
3.5625 7.4187 5.3646
3.5625 1.2840 5.3646
1.7813 -4.2740 0.0000
1.7813 -4.2740 3.5764
3.5625 -1.2840 1.7882
3.5625 -7.4187 1.7882
3.5625 6.5708 1.7882
3.5625 -6.5708 5.3646
3.5625 1.9858 1.7882
3.5625 -1.9858 5.3646
3.5625 3.7909 5.3646
3.5625 -3.7909 1.7882

---

[10]
SrAc2GeN4 GGA-PBE relaxed; SG = Cmcm (63)
1.0
1.8578 -6.4071 0.0000
1.8578 6.4071 0.0000
0.0000 0.0000 12.7706
Sr Ac Ge N
2 4 2 8
Cartesian
1.8578 5.1677 9.5780
1.8578 -5.1677 3.1927
1.8578 1.6657 6.9434
1.8578 1.6657 12.2125
1.8578 -1.6657 0.5581
1.8578 -1.6657 5.8272
1.8578 3.9963 3.1927
1.8578 -3.9963 9.5780
0.0000 0.0000 0.0000
0.0000 0.0000 6.3853
1.8578 2.9622 1.6718
1.8578 2.9622 4.7135
1.8578 1.2119 9.5780
1.8578 -1.2119 3.1927
1.8578 -2.9622 8.0571
1.8578 -2.9622 11.0988

---

[11]
SrAcGeN3 GGA-PBE relaxed; SG = C2/m (12)
1.0
6.6954 -2.0915 0.0000
6.6954 2.0915 0.0000
-2.1407 0.0000 7.2001
Sr Ac Ge N
2 2 2 6
Cartesian
1.8089 0.0000 0.5031
9.4413 0.0000 6.6970
0.7611 0.0000 4.1805
10.4891 0.0000 3.0196
5.0759 0.0000 5.4124
6.1743 0.0000 1.7877
-0.5327 0.0000 1.8862
3.2452 0.0000 4.8551
4.3392 0.0000 1.3010
6.9110 0.0000 5.8991
8.0050 0.0000 2.3450
11.7829 0.0000 5.3138

---

[12]
Ac2TaGe2N6 GGA-PBE relaxed; SG = R-3m (166)
1.0
2.9507 1.7036 5.5283
-2.9507 1.7036 5.5283
0.0000 -3.4072 5.5283
Ac Ta Ge N
2 1 2 6
Cartesian
0.0000 0.0000 3.6101
0.0000 0.0000 12.9747
0.0000 0.0000 0.0000
0.0000 0.0000 7.0809
0.0000 0.0000 9.5040
-1.5580 -0.8995 9.7343
0.0000 -1.7990 6.8505
-1.5580 0.8995 6.8505
1.5580 -0.8995 9.7343
0.0000 1.7990 9.7343
1.5580 0.8995 6.8505

---

[13]
AcTb2GeN4 GGA-PBE relaxed; SG = Cmcm (63)
1.0
1.8140 -5.8929 0.0000
1.8140 5.8929 0.0000
0.0000 0.0000 11.7270
Ac Tb Ge N
2 4 2 8
Cartesian
1.8140 4.7574 8.7952
1.8140 -4.7574 2.9317
1.8140 1.5420 6.3769
1.8140 1.5420 11.2136
1.8140 -1.5420 0.5134
1.8140 -1.5420 5.3501
1.8140 3.9264 2.9317
1.8140 -3.9264 8.7952
0.0000 0.0000 0.0000
0.0000 0.0000 5.8635
1.8140 2.7375 1.4573
1.8140 2.7375 4.4062
1.8140 1.0311 8.7952
1.8140 -1.0311 2.9317
1.8140 -2.7375 7.3208
1.8140 -2.7375 10.2697

---

[14]
AcTc2GeN GGA-PBE relaxed; SG = Cmcm (63)
1.0
2.0556 -5.6741 0.0000
2.0556 5.6741 0.0000
0.0000 0.0000 7.5217
Ac Tc Ge N
2 4 2 2
Cartesian
2.0556 5.1443 5.6413
2.0556 -5.1443 1.8804
2.0556 1.8957 4.2145
2.0556 1.8957 7.0680
2.0556 -1.8957 0.4537
2.0556 -1.8957 3.3072
2.0556 3.0519 1.8804
2.0556 -3.0519 5.6413
2.0556 0.0000 0.0000
2.0556 0.0000 3.7609

---

[15]
AcTc2Ge2N GGA-PBE relaxed; SG = P4/mmm (123)
1.0
4.2321 0.0000 0.0000
0.0000 4.2321 0.0000
0.0000 0.0000 5.6936
Ac Tc Ge N
1 2 2 1
Cartesian
0.0000 0.0000 0.0000
0.0000 2.1161 2.8468
2.1161 0.0000 2.8468
2.1161 2.1161 1.2914
2.1161 2.1161 4.4022
0.0000 0.0000 2.8468

---

[16]
Ac4GeTe2N GGA-PBE relaxed; SG = P2/m (10)
1.0
7.6137 0.0000 0.0000
0.0000 4.4433 0.0000
-2.5817 0.0000 7.7075
Ac Ge Te N
4 1 2 1
Cartesian
1.1506 0.0000 1.5726
-0.2239 2.2216 6.0846
5.2560 2.2216 1.6229
3.8814 0.0000 6.1348
3.8069 0.0000 0.0000
-1.2908 0.0000 3.8537
2.5160 2.2216 3.8537
0.0000 2.2216 0.0000

---

[17]
Ac4GeTe2N2 GGA-PBE relaxed; SG = C2/m (12)
1.0
8.9513 -2.2491 0.0000
8.9513 2.2491 0.0000
-3.0997 0.0000 6.9043
Ac Ge Te N
4 1 2 2
Cartesian
-0.1744 0.0000 2.2165
2.7103 0.0000 4.9993
12.0927 0.0000 1.9050
14.9774 0.0000 4.6877
8.9513 0.0000 0.0000
6.1092 0.0000 1.7140
8.6937 0.0000 5.1902
2.1214 0.0000 2.5975
12.6815 0.0000 4.3067

---

[18]
Ac8Ge3Te3N GGA-PBE relaxed; SG = R-3m (166)
1.0
4.5230 2.6113 7.8390
-4.5230 2.6113 7.8390
0.0000 -5.2227 7.8390
Ac Ge Te N
8 3 3 1
Cartesian
0.0000 0.0000 5.6956
-2.0700 -1.1951 13.3523
0.0000 -2.3902 10.1647
-2.0700 1.1951 10.1647
2.0700 -1.1951 13.3523
0.0000 2.3902 13.3523
2.0700 1.1951 10.1647
0.0000 0.0000 17.8214
-4.5229 0.0000 11.7585
-2.2615 1.3057 3.9195
2.2615 1.3057 3.9195
-2.2615 -1.3057 7.8390
-2.2615 1.3057 15.6780
0.0000 2.6113 7.8390
0.0000 0.0000 11.7585

---

[19]
Ac6Ge2Te3N GGA-PBE relaxed; SG = C2/m (12)
1.0
3.9043 -6.7236 0.0000
3.9043 6.7236 0.0000
-2.6016 0.0000 7.7336
Ac Ge Te N
6 2 3 1
Cartesian
1.2004 2.0753 1.6193
-0.1525 0.0000 6.0409
1.2004 -2.0753 1.6193
4.0067 2.0753 6.1144
5.3596 0.0000 1.6928
4.0067 -2.0753 6.1144
3.9043 2.2236 0.0000
3.9043 -2.2236 0.0000
2.6035 4.3662 3.8668
2.6035 0.0000 3.8668
2.6035 -4.3662 3.8668
0.0000 0.0000 0.0000

---

[20]
AcTh2GeN5 GGA-PBE relaxed; SG = I4/mcm (140)
1.0
-3.4481 3.4481 5.7740
3.4481 -3.4481 5.7740
3.4481 3.4481 -5.7740
Ac Th Ge N
2 4 2 10
Cartesian
0.0000 0.0000 2.8870
0.0000 0.0000 8.6611
4.7082 1.2601 0.0000
1.2601 2.1880 0.0000
2.1880 1.2601 5.7740
-1.2601 2.1880 5.7740
3.4481 0.0000 2.8870
0.0000 3.4481 2.8870
0.0000 0.0000 0.0000
2.4522 0.9959 -1.6343
2.4522 -0.9959 4.1397
2.4522 0.9959 1.6343
2.4522 -0.9959 7.4084
0.0000 0.0000 5.7740
0.9959 4.4441 -1.6343
0.9959 2.4522 4.1397
0.9959 4.4441 1.6343
0.9959 2.4522 7.4084

---

We obtain formation energy from raw total energies values of -0.95; -0.75; -0.74; -0.55; -1.42; -0.86; -1.35; -0.66; -0.66; -0.71; -0.51; -0.61; -1.08; -0.51; -0.43; -1.16; -1.24; -1.00; -1.18; -1.22 eV/atom for the records listed above, in that order.
We obtain calculated volume values of 192.1; 557.5; 149.5; 173.5; 476.0; 204.3; 511.1; 567.2; 435.6; 304.0; 201.7; 166.7; 250.7; 175.5; 102.0; 260.7; 278.0; 555.5; 406.0; 274.6 Å³ per cell for the records listed above, in that order.